First-principles (PBE) data for Th4FeAuS2 after structural relaxation, as listed in the Alexandria database.

* size of the total moment: 0.000 μB per cell
* density: 10.2 g cm⁻³
* SG: P2/m, No. 10
* energy relative to the elements, uncorrected: -0.9659 eV/atom

Cell: 7.146 4.072 7.354 Å, 90.00 107.91 90.00°
Positions (direct):
Th1 0.223 0.000 0.255
Th2 0.228 0.500 0.732
Th3 0.772 0.500 0.268
Th4 0.777 0.000 0.745
Fe1 0.000 0.000 0.500
Au1 0.500 0.500 0.500
S1 0.000 0.500 0.000
S2 0.500 0.000 0.000